First-principles (GGA+U) data for a geometry-optimized PaFeNiO6 structure, as listed in Alexandria via LeMat-Bulk. Values from VASP.

As for the symmetry: P312, No. 149. Its final energy is -7.1750 eV per atom.

Structure (Quantum ESPRESSO input):
```
&SYSTEM
  ibrav = 0, nat = 9, ntyp = 4
/
ATOMIC_SPECIES
Pa 231.04 Pa.upf
Fe 55.84 Fe.upf
Ni 58.69 Ni.upf
O 16.00 O.upf
CELL_PARAMETERS angstrom
4.769 0.000 0.000
0.000 5.016 0.000
0.000 -2.508 4.344
ATOMIC_POSITIONS crystal
Pa 0.000 0.333 0.667
Fe 0.500 0.000 0.000
Ni 0.500 0.667 0.333
O 0.727 0.677 0.650
O 0.727 0.350 0.028
O 0.727 0.972 0.323
O 0.273 0.350 0.323
O 0.273 0.677 0.028
O 0.273 0.972 0.650
```